1.
# ErTcB PBE relaxed
data_ErTcB
_cell_length_a 4.068
_cell_length_b 3.723
_cell_length_c 3.723
_cell_angle_alpha 120.00
_cell_angle_beta 90.00
_cell_angle_gamma 90.00
_symmetry_space_group_name_H-M 'P 1'
_symmetry_Int_Tables_number 1
loop_
_symmetry_equiv_pos_as_xyz
'x,y,z'
loop_
_atom_site_label
_atom_site_type_symbol
_atom_site_fract_x
_atom_site_fract_y
_atom_site_fract_z
Tc1 Tc 0.167 0.000 0.000
Er1 Er 0.667 0.333 0.667
B1 B 0.167 0.667 0.333
# Mass density   9.38 g cm⁻³
# Symmetry   P-6m2, No. 187
# Offset from the most stable computed form   64 meV per atom
# Energy of formation   -20.95 kJ per mole of atoms

***

2.
# Er2BTe PBE relaxed
data_Er2BTe
_cell_length_a 3.874
_cell_length_b 3.874
_cell_length_c 7.504
_cell_angle_alpha 75.04
_cell_angle_beta 75.04
_cell_angle_gamma 60.00
_symmetry_space_group_name_H-M 'P 1'
_symmetry_Int_Tables_number 1
loop_
_symmetry_equiv_pos_as_xyz
'x,y,z'
loop_
_atom_site_label
_atom_site_type_symbol
_atom_site_fract_x
_atom_site_fract_y
_atom_site_fract_z
Te1 Te 0.500 0.500 0.500
Er1 Er 0.266 0.266 0.201
Er2 Er 0.734 0.734 0.799
B1 B 0.000 0.000 0.000
# Mass density   8.44 g cm⁻³
# Symmetry   R-3m, No. 166
# ΔE_f (raw)   -0.665 eV/atom

***

3.
# Er5BTe4 PBE relaxed
data_Er5BTe4
_cell_length_a 5.969
_cell_length_b 7.348
_cell_length_c 7.348
_cell_angle_alpha 80.51
_cell_angle_beta 66.04
_cell_angle_gamma 66.04
_symmetry_space_group_name_H-M 'P 1'
_symmetry_Int_Tables_number 1
loop_
_symmetry_equiv_pos_as_xyz
'x,y,z'
loop_
_atom_site_label
_atom_site_type_symbol
_atom_site_fract_x
_atom_site_fract_y
_atom_site_fract_z
B1 B 0.020 0.000 0.000
Er1 Er 0.752 0.158 0.342
Er2 Er 0.474 0.000 0.000
Er3 Er 0.252 0.842 0.658
Er4 Er 0.911 0.342 0.842
Er5 Er 0.094 0.658 0.158
Te1 Te 0.192 0.223 0.396
Te2 Te 0.811 0.777 0.604
Te3 Te 0.589 0.604 0.223
Te4 Te 0.415 0.396 0.777
# Mass density   8.38 g cm⁻³
# Symmetry   I4, No. 79
# ΔE_f (raw)   -1.101 eV/atom

***

4.
# ErBTe PBE relaxed
data_ErBTe
_cell_length_a 3.587
_cell_length_b 3.205
_cell_length_c 12.597
_cell_angle_alpha 90.00
_cell_angle_beta 98.19
_cell_angle_gamma 90.00
_symmetry_space_group_name_H-M 'P 1'
_symmetry_Int_Tables_number 1
loop_
_symmetry_equiv_pos_as_xyz
'x,y,z'
loop_
_atom_site_label
_atom_site_type_symbol
_atom_site_fract_x
_atom_site_fract_y
_atom_site_fract_z
Te1 Te 0.170 0.250 0.340
Te2 Te 0.830 0.750 0.660
B1 B 0.512 0.250 0.023
B2 B 0.488 0.750 0.977
Er1 Er 0.063 0.750 0.126
Er2 Er 0.937 0.250 0.874
# Mass density   7.08 g cm⁻³
# Symmetry   Cmcm, No. 63
# ΔE_f (raw)   -0.504 eV/atom

***

5.
# ErThB PBE relaxed
data_ErThB
_cell_length_a 3.810
_cell_length_b 6.314
_cell_length_c 12.344
_cell_angle_alpha 90.00
_cell_angle_beta 90.00
_cell_angle_gamma 90.00
_symmetry_space_group_name_H-M 'P 1'
_symmetry_Int_Tables_number 1
loop_
_symmetry_equiv_pos_as_xyz
'x,y,z'
loop_
_atom_site_label
_atom_site_type_symbol
_atom_site_fract_x
_atom_site_fract_y
_atom_site_fract_z
B1 B 0.250 0.914 0.624
B2 B 0.750 0.414 0.876
B3 B 0.750 0.086 0.376
B4 B 0.250 0.586 0.124
Er1 Er 0.750 0.740 0.003
Er2 Er 0.750 0.760 0.503
Er3 Er 0.250 0.240 0.497
Er4 Er 0.250 0.260 0.997
Th1 Th 0.750 0.420 0.243
Th2 Th 0.750 0.080 0.743
Th3 Th 0.250 0.580 0.757
Th4 Th 0.250 0.920 0.257
# Mass density   9.17 g cm⁻³
# Symmetry   Pnma, No. 62
# Energy of formation   0.29 kJ per mole of atoms

***

6.
# Er2ThB6 PBE relaxed
data_Er2ThB6
_cell_length_a 3.953
_cell_length_b 5.702
_cell_length_c 5.702
_cell_angle_alpha 120.00
_cell_angle_beta 90.00
_cell_angle_gamma 90.00
_symmetry_space_group_name_H-M 'P 1'
_symmetry_Int_Tables_number 1
loop_
_symmetry_equiv_pos_as_xyz
'x,y,z'
loop_
_atom_site_label
_atom_site_type_symbol
_atom_site_fract_x
_atom_site_fract_y
_atom_site_fract_z
B1 B 0.500 0.000 0.660
B2 B 0.500 0.660 0.000
B3 B 0.500 0.000 0.340
B4 B 0.500 0.340 0.000
B5 B 0.500 0.340 0.340
B6 B 0.500 0.660 0.660
Er1 Er 0.000 0.667 0.333
Er2 Er 0.000 0.333 0.667
Th1 Th 0.000 0.000 0.000
# Mass density   9.42 g cm⁻³
# Symmetry   P6/mmm, No. 191
# Energy of formation   -51.26 kJ per mole of atoms

***

7.
# ErTiB4 PBE relaxed
data_ErTiB4
_cell_length_a 3.547
_cell_length_b 6.044
_cell_length_c 11.698
_cell_angle_alpha 90.00
_cell_angle_beta 90.00
_cell_angle_gamma 90.00
_symmetry_space_group_name_H-M 'P 1'
_symmetry_Int_Tables_number 1
loop_
_symmetry_equiv_pos_as_xyz
'x,y,z'
loop_
_atom_site_label
_atom_site_type_symbol
_atom_site_fract_x
_atom_site_fract_y
_atom_site_fract_z
B1 B 0.500 0.868 0.032
B2 B 0.500 0.205 0.814
B3 B 0.500 0.520 0.806
B4 B 0.500 0.795 0.186
B5 B 0.500 0.295 0.314
B6 B 0.500 0.114 0.547
B7 B 0.500 0.132 0.968
B8 B 0.500 0.368 0.468
B9 B 0.500 0.705 0.686
B10 B 0.500 0.632 0.532
B11 B 0.500 0.386 0.047
B12 B 0.500 0.980 0.306
B13 B 0.500 0.020 0.694
B14 B 0.500 0.614 0.953
B15 B 0.500 0.886 0.453
B16 B 0.500 0.480 0.194
Er1 Er 0.000 0.126 0.152
Er2 Er 0.000 0.374 0.652
Er3 Er 0.000 0.874 0.848
Er4 Er 0.000 0.626 0.348
Ti1 Ti 0.000 0.368 0.914
Ti2 Ti 0.000 0.132 0.414
Ti3 Ti 0.000 0.868 0.586
Ti4 Ti 0.000 0.632 0.086
# Mass density   6.84 g cm⁻³
# Symmetry   Pbam, No. 55
# Energy of formation   -68.69 kJ per mole of atoms

***

8.
# ErTmB4 PBE relaxed
data_ErTmB4
_cell_length_a 3.515
_cell_length_b 3.515
_cell_length_c 6.235
_cell_angle_alpha 106.37
_cell_angle_beta 106.37
_cell_angle_gamma 90.00
_symmetry_space_group_name_H-M 'P 1'
_symmetry_Int_Tables_number 1
loop_
_symmetry_equiv_pos_as_xyz
'x,y,z'
loop_
_atom_site_label
_atom_site_type_symbol
_atom_site_fract_x
_atom_site_fract_y
_atom_site_fract_z
B1 B 0.579 0.579 0.158
B2 B 0.421 0.421 0.842
B3 B 0.671 0.171 0.341
B4 B 0.829 0.329 0.659
Tm1 Tm 0.000 0.000 0.000
Er1 Er 0.250 0.750 0.500
# Mass density   8.92 g cm⁻³
# Symmetry   I-4m2, No. 119
# Offset from the most stable computed form   0 meV per atom
# Energy of formation   -47.69 kJ per mole of atoms

***

9.
# Er3TmB PBE relaxed
data_Er3TmB
_cell_length_a 5.106
_cell_length_b 5.106
_cell_length_c 5.106
_cell_angle_alpha 90.00
_cell_angle_beta 90.00
_cell_angle_gamma 90.00
_symmetry_space_group_name_H-M 'P 1'
_symmetry_Int_Tables_number 1
loop_
_symmetry_equiv_pos_as_xyz
'x,y,z'
loop_
_atom_site_label
_atom_site_type_symbol
_atom_site_fract_x
_atom_site_fract_y
_atom_site_fract_z
Er1 Er 0.000 0.000 0.500
Er2 Er 0.000 0.500 0.000
Er3 Er 0.500 0.000 0.000
B1 B 0.000 0.000 0.000
Tm1 Tm 0.500 0.500 0.500
# Mass density   8.50 g cm⁻³
# Symmetry   Pm-3m, No. 221
# Energy of formation   5.63 kJ per mole of atoms

***

10.
# ErTmB4 PBE relaxed
data_ErTmB4
_cell_length_a 4.704
_cell_length_b 4.704
_cell_length_c 4.704
_cell_angle_alpha 60.00
_cell_angle_beta 60.00
_cell_angle_gamma 60.00
_symmetry_space_group_name_H-M 'P 1'
_symmetry_Int_Tables_number 1
loop_
_symmetry_equiv_pos_as_xyz
'x,y,z'
loop_
_atom_site_label
_atom_site_type_symbol
_atom_site_fract_x
_atom_site_fract_y
_atom_site_fract_z
Tm1 Tm 0.000 0.000 0.000
B1 B 0.656 0.656 0.033
B2 B 0.656 0.033 0.656
B3 B 0.033 0.656 0.656
B4 B 0.656 0.656 0.656
Er1 Er 0.250 0.250 0.250
# Mass density   8.56 g cm⁻³
# Symmetry   F-43m, No. 216
# Offset from the most stable computed form   757 meV per atom
# Energy of formation   25.33 kJ per mole of atoms

***

11.
# ErTm3B PBE relaxed
data_ErTm3B
_cell_length_a 5.085
_cell_length_b 5.085
_cell_length_c 5.085
_cell_angle_alpha 90.00
_cell_angle_beta 90.00
_cell_angle_gamma 90.00
_symmetry_space_group_name_H-M 'P 1'
_symmetry_Int_Tables_number 1
loop_
_symmetry_equiv_pos_as_xyz
'x,y,z'
loop_
_atom_site_label
_atom_site_type_symbol
_atom_site_fract_x
_atom_site_fract_y
_atom_site_fract_z
Er1 Er 0.500 0.500 0.500
B1 B 0.000 0.000 0.000
Tm1 Tm 0.000 0.000 0.500
Tm2 Tm 0.000 0.500 0.000
Tm3 Tm 0.500 0.000 0.000
# Mass density   8.65 g cm⁻³
# Symmetry   Pm-3m, No. 221
# Energy of formation   4.76 kJ per mole of atoms

***

Number 1: calculated volume 49 Å³/cell, DOS at the Fermi energy 2.953 states/eV/f.u., total magnetization 0.00 μB/cell. Number 2: calculated volume 93 Å³/cell, DOS at the Fermi energy 3.214 states/eV/f.u., total magnetization 0.00 μB/cell. Number 3: calculated volume 269 Å³/cell, DOS at the Fermi energy 3.741 states/eV/f.u., total magnetization 0.00 μB/cell. Number 4: calculated volume 143 Å³/cell, DOS at the Fermi energy 1.862 states/eV/f.u., total magnetization 0.00 μB/cell. Number 5: calculated volume 297 Å³/cell, DOS at the Fermi energy 3.324 states/eV/f.u., total magnetization 0.00 μB/cell. Number 6: calculated volume 111 Å³/cell, DOS at the Fermi energy 3.700 states/eV/f.u., total magnetization 0.00 μB/cell. Number 7: calculated volume 251 Å³/cell, DOS at the Fermi energy 2.349 states/eV/f.u., total magnetization 0.00 μB/cell. Number 8: calculated volume 71 Å³/cell, DOS at the Fermi energy 1.642 states/eV/f.u., total magnetization 0.00 μB/cell. Number 9: calculated volume 133 Å³/cell, DOS at the Fermi energy 5.855 states/eV/f.u., total magnetization 0.00 μB/cell. Number 10: calculated volume 74 Å³/cell, DOS at the Fermi energy 3.356 states/eV/f.u., total magnetization 0.00 μB/cell. Number 11: calculated volume 131 Å³/cell, DOS at the Fermi energy 5.711 states/eV/f.u., total magnetization 0.00 μB/cell.